No. 1
NiPbW | GGA-PBE | relaxed

Cell: 3.0151 3.0151 6.8473 Å, 90.00 90.00 120.00°
Space group P3m1 (No. 156)
Unique sites:
Ni1 0.0000 0.0000 0.0000 (multiplicity 1)
Pb1 0.6667 0.3333 0.3499 (multiplicity 1)
W1 0.3333 0.6667 0.7278 (multiplicity 1)

## Properties
Energy relative to the lowest polymorph listed for this composition in kcal/mol of atoms: 1.266
Energy in eV/atom: -6.799
Density of states at the Fermi level in states/eV per cell: 2.37
Formation energy from the elements in eV per atom: 0.682

=====

No. 2
LiEr4Se4 | GGA-PBE | relaxed

Cell: 12.449 5.646 8.804 Å, 90.00 134.93 90.00°
Space group C2/m (No. 12)
Unique sites:
Li1 0.000 0.000 0.000 (multiplicity 2)
Er1 0.096 0.500 0.802 (multiplicity 4)
Er2 0.205 0.000 0.609 (multiplicity 4)
Se1 0.093 0.000 0.802 (multiplicity 4)
Se2 0.209 0.500 0.617 (multiplicity 4)

## Properties
ΔE_f (raw) in meV per atom: -1439
Energy in eV/atom: -5.228
Density of states at the Fermi level in states/eV per cell: 7.86

=====

No. 3
Tm5CoRu | GGA-PBE | relaxed

Cell: 9.225 13.598 6.149 Å, 90.00 109.65 90.00°
Space group C2/c (No. 15)
Unique sites:
Tm1 0.000 0.146 0.250 (multiplicity 4)
Tm2 0.107 0.350 0.559 (multiplicity 8)
Tm3 0.223 0.081 0.858 (multiplicity 8)
Co1 0.000 0.000 0.000 (multiplicity 4)
Ru1 0.000 0.499 0.750 (multiplicity 4)

## Properties
Energy in eV/atom: -5.720
Density of states at the Fermi level in states/eV per cell: 21.32
Formation energy from the elements in eV per atom: -0.186

=====

No. 4
CuNi2Ru | GGA-PBE | relaxed

Cell: 2.583 2.583 7.195 Å, 90.00 90.00 90.00°
Space group P4mm (No. 99)
Unique sites:
Cu1 0.000 0.000 0.000 (multiplicity 1)
Ni1 0.000 0.000 0.479 (multiplicity 1)
Ni2 0.500 0.500 0.243 (multiplicity 1)
Ru1 0.500 0.500 0.726 (multiplicity 1)

## Properties
Energy relative to the lowest polymorph listed for this composition in kcal/mol of atoms: 1.470
Energy in eV/atom: -6.084
Density of states at the Fermi level in states/eV per cell: 5.74
Formation energy from the elements in eV per atom: 0.150

=====

No. 5
La4DySc3Se8 | GGA-PBE | relaxed

Cell: 8.1405 8.1405 20.6820 Å, 90.00 90.00 120.00°
Space group R-3m (No. 166, hexagonal axes)
Unique sites:
La1 0.0000 0.0000 0.0000 (multiplicity 3)
La2 0.0000 0.5000 0.0000 (multiplicity 9)
Dy1 0.0000 0.0000 0.5000 (multiplicity 3)
Sc1 0.0000 0.5000 0.5000 (multiplicity 9)
Se1 0.0000 0.0000 0.2388 (multiplicity 6)
Se2 0.0076 0.5038 0.7598 (multiplicity 18)

## Properties
ΔE_f (raw) in meV per atom: -1797
Energy in eV/atom: -6.246
Density of states at the Fermi level in states/eV per cell: 32.00

=====

No. 6
NaAuI2 | GGA-PBE | relaxed

Cell: 7.808 7.808 7.808 Å, 90.00 90.00 90.00°
Space group Fm-3m (No. 225)
Unique sites:
Na1 0.000 0.000 0.000 (multiplicity 4)
Au1 0.000 0.000 0.500 (multiplicity 4)
I1 0.250 0.250 0.250 (multiplicity 8)

## Properties
ΔE_f (raw) in meV per atom: -235
Energy relative to the lowest polymorph listed for this composition in kcal/mol of atoms: 9.040
Energy in eV/atom: -2.159
Density of states at the Fermi level in states/eV per cell: 1.77

=====

No. 7
Tb3Dy2Mg8 | GGA-PBE | relaxed

Cell: 5.8376 5.8376 37.1093 Å, 90.00 90.00 120.00°
Space group R-3m (No. 166, hexagonal axes)
Unique sites:
Tb1 0.0000 0.0000 0.0000 (multiplicity 3)
Tb2 0.0000 0.0000 0.1834 (multiplicity 6)
Dy1 0.0000 0.0000 0.3600 (multiplicity 6)
Mg1 0.0000 0.0000 0.2749 (multiplicity 6)
Mg2 0.0006 0.5003 0.7696 (multiplicity 18)

## Properties
Energy in eV/atom: -2.636
Density of states at the Fermi level in states/eV per cell: 42.83
Formation energy from the elements in eV per atom: 0.122

=====

No. 8
Nd2ThTe2N2 | GGA-PBE | relaxed

Cell: 4.597 4.597 16.505 Å, 90.00 90.00 90.00°
Space group I4/mmm (No. 139)
Unique sites:
Nd1 0.000 0.000 0.108 (multiplicity 4)
Th1 0.000 0.000 0.500 (multiplicity 2)
Te1 0.000 0.000 0.311 (multiplicity 4)
N1 0.000 0.500 0.000 (multiplicity 4)

## Properties
ΔE_f (raw) in meV per atom: -1283
Energy in eV/atom: -6.981
Density of states at the Fermi level in states/eV per cell: 1.57

=====

No. 9
CeZnPdRu | GGA-PBE | relaxed

Cell: 6.580 6.580 6.580 Å, 90.00 90.00 90.00°
Space group F-43m (No. 216)
Unique sites:
Ce1 0.000 0.000 0.000 (multiplicity 4)
Zn1 0.000 0.000 0.500 (multiplicity 4)
Pd1 0.250 0.250 0.250 (multiplicity 4)
Ru1 0.250 0.250 0.750 (multiplicity 4)

## Properties
Energy relative to the lowest polymorph listed for this composition in kcal/mol of atoms: 2.805
Energy in eV/atom: -5.797
Density of states at the Fermi level in states/eV per cell: 13.37
Formation energy from the elements in eV per atom: -0.378

=====

No. 10
TiBeV | GGA-PBE | relaxed

Cell: 4.3688 4.3688 2.3854 Å, 90.00 90.00 120.00°
Space group P3m1 (No. 156)
Unique sites:
Ti1 0.0000 0.0000 0.0000 (multiplicity 1)
Be1 0.3333 0.6667 0.3358 (multiplicity 1)
V1 0.6667 0.3333 0.6206 (multiplicity 1)

## Properties
Energy relative to the lowest polymorph listed for this composition in kcal/mol of atoms: 4.939
Energy in eV/atom: -6.728
Density of states at the Fermi level in states/eV per cell: 3.71
Formation energy from the elements in eV per atom: 0.185

=====

No. 11
Rb2ZrNbO6 | GGA-PBE | relaxed

Cell: 8.372 8.372 8.372 Å, 90.00 90.00 90.00°
Space group Fm-3m (No. 225)
Unique sites:
Rb1 0.250 0.250 0.250 (multiplicity 8)
Zr1 0.000 0.000 0.000 (multiplicity 4)
Nb1 0.000 0.000 0.500 (multiplicity 4)
O1 0.000 0.000 0.257 (multiplicity 24)

## Properties
ΔE_f (raw) in meV per atom: -2365
Energy in eV/atom: -7.395
Density of states at the Fermi level in states/eV per cell: 20.19

=====

No. 12
Pr3NpAs4 | GGA-PBE | relaxed

Cell: 7.377 8.514 7.365 Å, 90.00 109.51 90.00°
Space group P2/c (No. 13)
Unique sites:
Pr1 0.000 0.124 0.250 (multiplicity 2)
Pr2 0.000 0.375 0.750 (multiplicity 2)
Pr3 0.500 0.125 0.750 (multiplicity 2)
Np1 0.500 0.376 0.250 (multiplicity 2)
As1 0.255 0.132 0.007 (multiplicity 4)
As2 0.262 0.381 0.499 (multiplicity 4)

## Properties
Energy in eV/atom: -7.019
Density of states at the Fermi level in states/eV per cell: 25.64
Formation energy from the elements in eV per atom: -1.284

=====

No. 13
YAsIrBr2 | GGA-PBE | relaxed

Cell: 5.346 5.346 5.946 Å, 90.00 90.00 90.00°
Space group P4/mmm (No. 123)
Unique sites:
Y1 0.000 0.000 0.000 (multiplicity 1)
As1 0.000 0.000 0.500 (multiplicity 1)
Ir1 0.500 0.500 0.500 (multiplicity 1)
Br1 0.000 0.500 0.000 (multiplicity 2)

## Properties
ΔE_f (raw) in meV per atom: 493
Energy relative to the lowest polymorph listed for this composition in kcal/mol of atoms: 11.830
Energy in eV/atom: -4.171
Density of states at the Fermi level in states/eV per cell: 3.65

=====

No. 14
Ca3Ge2PPd9 | GGA-PBE | relaxed

Cell: 6.6920 6.6920 7.9048 Å, 90.00 90.00 120.00°
Space group P-3m1 (No. 164)
Unique sites:
Ca1 0.0000 0.0000 0.0000 (multiplicity 1)
Ca2 0.3333 0.6667 0.6745 (multiplicity 2)
Ge1 0.3333 0.6667 0.1907 (multiplicity 2)
P1 0.0000 0.0000 0.5000 (multiplicity 1)
Pd1 0.0000 0.5000 0.0000 (multiplicity 3)
Pd2 0.1427 0.2854 0.2986 (multiplicity 6)

## Properties
Energy in eV/atom: -5.048
Density of states at the Fermi level in states/eV per cell: 6.83
Formation energy from the elements in eV per atom: -0.556

=====

No. 15
TlCoAsSe2 | GGA-PBE | relaxed

Cell: 5.372 5.372 5.278 Å, 90.00 90.00 90.00°
Space group P4/mmm (No. 123)
Unique sites:
Tl1 0.000 0.000 0.000 (multiplicity 1)
Co1 0.500 0.500 0.500 (multiplicity 1)
As1 0.000 0.000 0.500 (multiplicity 1)
Se1 0.000 0.500 0.000 (multiplicity 2)

## Properties
ΔE_f (raw) in meV per atom: 1409
Energy relative to the lowest polymorph listed for this composition in kcal/mol of atoms: 28.504
Energy in eV/atom: -2.809
Density of states at the Fermi level in states/eV per cell: 12.80

=====

No. 16
K3U3CuSe8 | GGA-PBE | relaxed

Cell: 14.199 8.217 9.154 Å, 90.00 121.10 90.00°
Space group C2/m (No. 12)
Unique sites:
K1 0.000 0.000 0.000 (multiplicity 2)
K2 0.250 0.250 0.000 (multiplicity 4)
U1 0.000 0.500 0.500 (multiplicity 2)
U2 0.250 0.250 0.500 (multiplicity 4)
Cu1 0.000 0.000 0.500 (multiplicity 2)
Se1 0.018 0.250 0.305 (multiplicity 8)
Se2 0.230 0.000 0.694 (multiplicity 4)
Se3 0.237 0.500 0.709 (multiplicity 4)

## Properties
ΔE_f (raw) in meV per atom: -1076
Energy in eV/atom: -5.685
Density of states at the Fermi level in states/eV per cell: 30.39

=====

No. 17
BaCa2ZnIn | GGA-PBE | relaxed

Cell: 5.825 5.825 5.337 Å, 90.00 90.00 90.00°
Space group P4/mmm (No. 123)
Unique sites:
Ba1 0.000 0.000 0.000 (multiplicity 1)
Ca1 0.000 0.500 0.500 (multiplicity 2)
Zn1 0.500 0.500 0.500 (multiplicity 1)
In1 0.500 0.500 0.000 (multiplicity 1)

## Properties
Energy relative to the lowest polymorph listed for this composition in kcal/mol of atoms: 0.000
Energy in eV/atom: -2.081
Density of states at the Fermi level in states/eV per cell: 3.03
Formation energy from the elements in eV per atom: -0.093

=====

No. 18
NiTeAsBr2 | GGA-PBE | relaxed

Cell: 5.495 5.495 5.600 Å, 90.00 90.00 90.00°
Space group P4/mmm (No. 123)
Unique sites:
Ni1 0.000 0.000 0.000 (multiplicity 1)
Te1 0.500 0.500 0.500 (multiplicity 1)
As1 0.500 0.500 0.000 (multiplicity 1)
Br1 0.000 0.500 0.500 (multiplicity 2)

## Properties
ΔE_f (raw) in meV per atom: 965
Energy relative to the lowest polymorph listed for this composition in kcal/mol of atoms: 16.523
Energy in eV/atom: -2.418
Density of states at the Fermi level in states/eV per cell: 6.13

=====

No. 19
TaCoH | GGA-PBE | relaxed

Cell: 3.592 3.592 19.356 Å, 90.00 90.00 90.00°
Space group P4_122 (No. 91)
Unique sites:
Ta1 0.249 0.251 0.075 (multiplicity 8)
Co1 0.249 0.250 0.205 (multiplicity 8)
H1 0.251 0.252 0.967 (multiplicity 8)

## Properties
Energy relative to the lowest polymorph listed for this composition in kcal/mol of atoms: 0.600
Energy in eV/atom: -7.520
Density of states at the Fermi level in states/eV per cell: 21.16

=====

No. 20
TbSmGe2 | GGA-PBE | relaxed

Cell: 4.011 4.361 10.871 Å, 90.00 90.00 90.00°
Space group Amm2 (No. 38)
Unique sites:
Tb1 0.000 0.000 0.000 (multiplicity 2)
Sm1 0.500 0.000 0.724 (multiplicity 2)
Ge1 0.000 0.000 0.279 (multiplicity 2)
Ge2 0.500 0.000 0.447 (multiplicity 2)

## Properties
Energy relative to the lowest polymorph listed for this composition in kcal/mol of atoms: 0.000
Energy in eV/atom: -5.515
Density of states at the Fermi level in states/eV per cell: 5.49
Formation energy from the elements in eV per atom: -0.869